## NaPtI (PBE)

Data for NaPtI after structural relaxation.

Computed properties:
E above lowest polymorph (meV per atom): 403
Raw formation energy (eV per atom): -0.068
Total magnetization (μB/cell): 0.00

Cell: 5.6610 5.6610 5.5118 Å, 90.00 90.00 90.00°
Space group P4/nmm (No. 129, origin choice 2)
Asymmetric unit:
1 Na 0.2500 0.2500 0.0016
2 Pt 0.2500 0.2500 0.5014
3 I 0.2500 0.7500 0.5000